(1)
A relaxed RbWNO2 crystal. Source: Alexandria via LeMat-Bulk, functional PBE with a Hubbard U.

Summary:
- density of states at the Fermi level (states/eV per cell) = 1.207
- crystal system = tetragonal
- uncorrected energy (eV/cell) = -32.35
- V (Å³/f.u.) = 66.5
- magnetization (μB per formula unit) = 0.0

abc: 4.0722 4.0722 4.0108
angles: 90.00 90.00 90.00
Closest atoms and distances in Å follow each position.
Atoms (fractional coordinates):
1 O 0.5000 0.0000 0.0000  2 W 2.04
2 O 0.0000 0.5000 0.0000  2 W 2.04
3 W 0.0000 0.0000 0.0000  2 N 2.01, 4 O 2.04
4 N 0.0000 0.0000 0.5000  2 W 2.01
5 Rb 0.5000 0.5000 0.5000  8 O 2.86, 4 N 2.88



(2)
A relaxed RbWNO2 crystal. Source: Alexandria via LeMat-Bulk, functional PBE with a Hubbard U.

Summary:
- density of states at the Fermi level (states/eV per cell) = 1.283
- crystal system = tetragonal
- uncorrected energy (eV/cell) = -16.99
- V (Å³/f.u.) = 85.5
- magnetization (μB per formula unit) = 2.0

abc: 4.1204 4.1204 5.0348
angles: 90.00 90.00 90.00
Closest atoms and distances in Å follow each position.
Atoms (fractional coordinates):
1 O 0.0000 0.5000 0.0000  2 Rb 2.06
2 O 0.5000 0.0000 0.0000  2 Rb 2.06
3 W 0.5000 0.5000 0.5000  4 N 2.91, 8 O 3.25
4 Rb 0.0000 0.0000 0.0000  4 O 2.06
5 N 0.0000 0.0000 0.5000  2 Rb 2.52



Among the records above, which one has the highest uncorrected energy?
number 2



Number 1 is which compound?
RbWNO2



Which formula does entry 1 have?
RbWNO2



Which formula does entry 2 have?
RbWNO2